No. 1
An optimized crystal structure of CdHRu2S, computed with GGA-PBE.

Cell lengths 3.9190, 3.9190, 4.4201 Å; angles 90.00, 90.00, 90.00 degrees
Closest atoms and distances in Å follow each position.
Space group P4/mmm (No. 123)
Inequivalent atoms, fractional coordinates:
Cd: 0.0000 0.0000 0.0000 [1 per cell]  4 S 2.77, 8 Ru 2.95
H: 0.5000 0.5000 0.5000 [1 per cell]  4 Ru 1.96
Ru: 0.0000 0.5000 0.5000 [2 per cell]  2 H 1.96
S: 0.5000 0.5000 0.0000 [1 per cell]  2 H 2.21

final energy	-4.738	eV per atom

***

No. 2
An optimized crystal structure of Cs2NaCu2I6, computed with GGA-PBE.

Cell lengths 14.9607, 7.8751, 9.7489 Å; angles 90.00, 118.92, 90.00 degrees
Closest atoms and distances in Å follow each position.
Space group C2/m (No. 12)
Inequivalent atoms, fractional coordinates:
Cs: 0.2068 0.0000 0.2129 [4 per cell]  9 I 3.93-4.28
Na: 0.0000 0.0000 0.5000 [2 per cell]  6 I 3.22-3.32
Cu: 0.0603 0.5000 0.2592 [4 per cell]  3 I 2.50-2.52
I: 0.0515 0.2426 0.7950 [8 per cell]  1 Cu 2.52
I: 0.2482 0.5000 0.3554 [4 per cell]  1 Cu 2.50

final energy	-2.703	eV per atom
raw formation energy	-838	meV/atom

***

No. 3
An optimized crystal structure of Tl3GaCl, computed with GGA-PBE.

Cell lengths 5.8336, 5.8336, 5.8336 Å; angles 90.00, 90.00, 90.00 degrees
Closest atoms and distances in Å follow each position.
Space group Pm-3m (No. 221)
Inequivalent atoms, fractional coordinates:
Tl: 0.0000 0.0000 0.5000 [3 per cell]  2 Cl 2.92
Ga: 0.5000 0.5000 0.5000 [1 per cell]  12 Tl 4.13
Cl: 0.0000 0.0000 0.0000 [1 per cell]  6 Tl 2.92

final energy	-2.297	eV per atom
excess energy over the best structure of this formula in the dataset	182	meV/atom
raw formation energy	97	meV/atom

***

No. 4
An optimized crystal structure of TaBeN2, computed with GGA-PBE.

Cell lengths 3.1298, 3.1298, 16.1734 Å; angles 90.00, 90.00, 120.00 degrees
Closest atoms and distances in Å follow each position.
Space group R-3m (No. 166, hexagonal axes)
Inequivalent atoms, fractional coordinates:
Ta: 0.0000 0.0000 0.0000 [3 per cell]  6 N 2.15
Be: 0.0000 0.0000 0.5000 [3 per cell]  2 N 1.53
N: 0.0000 0.0000 0.4055 [6 per cell]  1 Be 1.53

final energy	-8.837	eV per atom
raw formation energy	-780	meV/atom

***

No. 5
An optimized crystal structure of TcNiGe2, computed with GGA-PBE.

Cell lengths 4.2340, 4.2340, 3.0826 Å; angles 90.00, 90.00, 90.00 degrees
Closest atoms and distances in Å follow each position.
Space group P4/mmm (No. 123)
Inequivalent atoms, fractional coordinates:
Tc: 0.0000 0.0000 0.0000 [1 per cell]  8 Ge 2.62
Ni: 0.5000 0.5000 0.0000 [1 per cell]  8 Ge 2.62
Ge: 0.0000 0.5000 0.5000 [2 per cell]  4 Ni 2.62, 4 Tc 2.62

final energy	-6.423	eV per atom
excess energy over the best structure of this formula in the dataset	169	meV/atom
energy of formation from the pure elements	-0.08	eV per atom

***

No. 6
An optimized crystal structure of Ca2TaTlCo, computed with GGA-PBE.

Cell lengths 5.6708, 5.6708, 5.3580 Å; angles 90.00, 90.00, 90.00 degrees
Closest atoms and distances in Å follow each position.
Space group P4/mmm (No. 123)
Inequivalent atoms, fractional coordinates:
Ca: 0.0000 0.5000 0.0000 [2 per cell]  2 Ta 2.84
Ta: 0.0000 0.0000 0.0000 [1 per cell]  2 Tl 2.68, 4 Ca 2.84
Tl: 0.0000 0.0000 0.5000 [1 per cell]  2 Ta 2.68
Co: 0.5000 0.5000 0.5000 [1 per cell]  8 Ca 3.90, 4 Tl 4.01

final energy	-3.591	eV per atom
energy of formation from the pure elements	1.48	eV per atom

***

No. 7
An optimized crystal structure of Rb12Cd6Hg, computed with GGA-PBE.

Cell lengths 12.9172, 12.9172, 12.9172 Å; angles 90.00, 90.00, 90.00 degrees
Closest atoms and distances in Å follow each position.
Space group Im-3 (No. 204)
Inequivalent atoms, fractional coordinates:
Rb: 0.0000 0.1867 0.2900 [24 per cell]  3 Cd 3.74-3.92
Cd: 0.0000 0.3860 0.5000 [12 per cell]  1 Cd 2.94
Hg: 0.0000 0.0000 0.0000 [2 per cell]  12 Rb 4.45

final energy	-0.937	eV per atom
energy of formation from the pure elements	-0.02	eV per atom

***

No. 8
An optimized crystal structure of Ho4SbP2, computed with GGA-PBE.

Cell lengths 4.0715, 13.0958, 13.3893 Å; angles 90.00, 90.00, 90.00 degrees
Closest atoms and distances in Å follow each position.
Space group Cmcm (No. 63)
Inequivalent atoms, fractional coordinates:
Ho: 0.0000 0.0000 0.0000 [4 per cell]  4 P 2.80
Ho: 0.0000 0.2644 0.1166 [8 per cell]  3 P 2.70-2.77
Ho: 0.0000 0.4366 0.7500 [4 per cell]  2 P 2.72, 2 Sb 3.03
Sb: 0.0000 0.1084 0.7500 [4 per cell]  6 Ho 3.03-3.18
P: 0.0000 0.3658 0.5587 [8 per cell]  6 Ho 2.70-2.80

final energy	-6.014	eV per atom
raw formation energy	-1264	meV/atom

***

No. 9
An optimized crystal structure of NdTmTl3, computed with GGA-PBE.

Cell lengths 7.3646, 7.3646, 6.4889 Å; angles 90.00, 90.00, 120.00 degrees
Closest atoms and distances in Å follow each position.
Space group P6_3/mmc (No. 194)
Inequivalent atoms, fractional coordinates:
Nd: 0.3333 0.6667 0.2500 [2 per cell]  12 Tl 3.67-3.70
Tm: 0.0000 0.0000 0.0000 [2 per cell]  6 Tl 3.00, 2 Tm 3.24
Tl: 0.1982 0.3964 0.7500 [6 per cell]  2 Tl 2.99, 2 Tm 3.00

final energy	-3.397	eV per atom
energy of formation from the pure elements	-0.13	eV per atom

***

No. 10
An optimized crystal structure of Sb2S3Br, computed with GGA-PBE.

Cell lengths 17.3610, 4.0608, 11.1551 Å; angles 90.00, 119.18, 90.00 degrees
Closest atoms and distances in Å follow each position.
Space group C2/m (No. 12)
Inequivalent atoms, fractional coordinates:
Sb: 0.0659 0.0000 0.3145 [4 per cell]  3 S 2.53-2.65
Sb: 0.2460 0.0000 0.8514 [4 per cell]  3 S 2.55-2.70
S: 0.0816 0.5000 0.1928 [4 per cell]  2 Sb 2.53
S: 0.1599 0.0000 0.9827 [4 per cell]  3 Sb 2.55-2.70
S: 0.2314 0.0000 0.5164 [4 per cell]  2 S 2.21
Br: 0.1130 0.5000 0.6768 [4 per cell]  2 Sb 2.98

final energy	-3.915	eV per atom
excess energy over the best structure of this formula in the dataset	0	meV/atom
raw formation energy	-198	meV/atom

***

No. 11
An optimized crystal structure of ZnCu, computed with GGA-PBE.

Cell lengths 4.9749, 4.9749, 4.9749 Å; angles 90.00, 90.00, 90.00 degrees
Closest atoms and distances in Å follow each position.
Space group Fm-3m (No. 225)
Inequivalent atoms, fractional coordinates:
Zn: 0.0000 0.0000 0.0000 [4 per cell]  6 Cu 2.49
Cu: 0.0000 0.0000 0.5000 [4 per cell]  6 Zn 2.49

final energy	-2.386	eV per atom
energy of formation from the pure elements	0.30	eV per atom

***

No. 12
An optimized crystal structure of LiLaP2, computed with GGA-PBE.

Cell lengths 7.5809, 4.5489, 5.9724 Å; angles 90.00, 126.11, 90.00 degrees
Closest atoms and distances in Å follow each position.
Space group C2/m (No. 12)
Inequivalent atoms, fractional coordinates:
Li: 0.0000 0.0000 0.0000 [2 per cell]  4 P 2.53
La: 0.0000 0.5000 0.5000 [2 per cell]  6 P 2.97-3.05, 2 Li 3.15
P: 0.1784 0.5000 0.1713 [4 per cell]  1 P 2.23

final energy	-5.325	eV per atom
excess energy over the best structure of this formula in the dataset	2	meV/atom
energy of formation from the pure elements	-0.91	eV per atom

***

No. 13
An optimized crystal structure of TmZn3Cd3, computed with GGA-PBE.

Cell lengths 7.2235, 7.2235, 7.2235 Å; angles 90.00, 90.00, 90.00 degrees
Closest atoms and distances in Å follow each position.
Space group Pm-3n (No. 223)
Inequivalent atoms, fractional coordinates:
Tm: 0.0000 0.0000 0.0000 [2 per cell]  12 Cd 4.04, 12 Zn 4.04
Zn: 0.0000 0.2500 0.5000 [6 per cell]  4 Cd 2.55
Cd: 0.0000 0.5000 0.2500 [6 per cell]  4 Zn 2.55

final energy	-1.120	eV per atom
energy of formation from the pure elements	0.46	eV per atom

***

No. 14
An optimized crystal structure of Sm2ThSc, computed with GGA-PBE.

Cell lengths 3.5442, 3.5442, 34.2583 Å; angles 90.00, 90.00, 120.00 degrees
Closest atoms and distances in Å follow each position.
Space group R-3m (No. 166, hexagonal axes)
Inequivalent atoms, fractional coordinates:
Sm: 0.0000 0.0000 0.2481 [6 per cell]  3 Sc 3.46, 6 Sm 3.54, 3 Th 3.56
Th: 0.0000 0.0000 0.0000 [3 per cell]  6 Th 3.54, 6 Sm 3.56
Sc: 0.0000 0.0000 0.5000 [3 per cell]  6 Sm 3.46, 6 Sc 3.54

final energy	-5.724	eV per atom
excess energy over the best structure of this formula in the dataset	39	meV/atom
energy of formation from the pure elements	0.07	eV per atom

***

No. 15
An optimized crystal structure of Ho3Pu2Co4, computed with GGA-PBE.

Cell lengths 10.7298, 3.9453, 8.6178 Å; angles 90.00, 101.16, 90.00 degrees
Closest atoms and distances in Å follow each position.
Space group C2/m (No. 12)
Inequivalent atoms, fractional coordinates:
Ho: 0.0000 0.0000 0.0000 [2 per cell]  4 Co 2.98
Ho: 0.1231 0.5000 0.3846 [4 per cell]  6 Co 2.91-3.13
Pu: 0.1776 0.5000 0.7830 [4 per cell]  5 Co 2.47-2.56
Co: 0.0858 0.0000 0.6208 [4 per cell]  1 Co 2.50, 2 Pu 2.51
Co: 0.2099 0.5000 0.0855 [4 per cell]  3 Pu 2.47-2.56, 2 Co 2.70

final energy	-8.022	eV per atom
energy of formation from the pure elements	-0.15	eV per atom

***

No. 16
An optimized crystal structure of HgS2Br2, computed with GGA-PBE.

Cell lengths 4.2807, 7.2012, 7.7496 Å; angles 114.78, 102.50, 94.60 degrees
Closest atoms and distances in Å follow each position.
Space group P-1 (No. 2)
Inequivalent atoms, fractional coordinates:
Hg: 0.0000 0.0000 0.0000 [1 per cell]  2 Br 2.47
S: 0.0323 0.8834 0.3919 [2 per cell]  1 S 1.90
Br: 0.2610 0.6965 0.8630 [2 per cell]  1 Hg 2.47

final energy	-2.427	eV per atom
raw formation energy	-46	meV/atom

***

No. 17
An optimized crystal structure of Ac2CdPd2Pt5, computed with GGA-PBE.

Cell lengths 9.7553, 9.7553, 4.2545 Å; angles 90.00, 90.00, 90.00 degrees
Closest atoms and distances in Å follow each position.
Space group P4/mbm (No. 127)
Inequivalent atoms, fractional coordinates:
Ac: 0.1763 0.3237 0.0000 [4 per cell]  3 Pd 2.77-2.97
Cd: 0.0000 0.0000 0.0000 [2 per cell]  8 Pt 2.97
Pd: 0.1229 0.6229 0.0000 [4 per cell]  6 Pt 2.72-2.79, 3 Ac 2.77-2.97
Pt: 0.0000 0.5000 0.5000 [2 per cell]  4 Pd 2.72, 4 Pt 2.94
Pt: 0.0569 0.7955 0.5000 [8 per cell]  2 Pd 2.79, 3 Pt 2.93-2.94, 2 Cd 2.97

final energy	-5.693	eV per atom
energy of formation from the pure elements	-0.72	eV per atom

***

No. 18
An optimized crystal structure of Tb4Ru2Rh, computed with GGA-PBE.

Cell lengths 4.8447, 4.8447, 23.4040 Å; angles 90.00, 90.00, 120.00 degrees
Closest atoms and distances in Å follow each position.
Space group R-3m (No. 166, hexagonal axes)
Inequivalent atoms, fractional coordinates:
Tb: 0.0000 0.0000 0.1233 [6 per cell]  4 Ru 2.94, 3 Rh 2.98
Tb: 0.0000 0.0000 0.3742 [6 per cell]  4 Ru 2.93-2.98, 1 Rh 2.94
Ru: 0.0000 0.0000 0.2489 [6 per cell]  8 Tb 2.93-2.98
Rh: 0.0000 0.0000 0.5000 [3 per cell]  8 Tb 2.94-2.98

final energy	-6.775	eV per atom
excess energy over the best structure of this formula in the dataset	0	meV/atom
energy of formation from the pure elements	-0.43	eV per atom

***

No. 19
An optimized crystal structure of Pr2SmZr, computed with GGA-PBE.

Cell lengths 5.0247, 5.0247, 4.9756 Å; angles 90.00, 90.00, 90.00 degrees
Closest atoms and distances in Å follow each position.
Space group P4/mmm (No. 123)
Inequivalent atoms, fractional coordinates:
Pr: 0.0000 0.5000 0.0000 [2 per cell]  4 Zr 3.54, 4 Sm 3.54, 4 Pr 3.55
Sm: 0.0000 0.0000 0.5000 [1 per cell]  8 Pr 3.54, 4 Zr 3.55
Zr: 0.5000 0.5000 0.5000 [1 per cell]  8 Pr 3.54, 4 Sm 3.55

final energy	-5.561	eV per atom
excess energy over the best structure of this formula in the dataset	8	meV/atom
energy of formation from the pure elements	0.15	eV per atom

***

No. 20
An optimized crystal structure of SrTa4Ni, computed with GGA-PBE.

Cell lengths 7.9574, 7.9574, 7.9574 Å; angles 90.00, 90.00, 90.00 degrees
Closest atoms and distances in Å follow each position.
Space group F-43m (No. 216)
Inequivalent atoms, fractional coordinates:
Sr: 0.0000 0.0000 0.0000 [4 per cell]  12 Ta 3.30, 4 Ni 3.45
Ta: 0.1263 0.1263 0.6263 [16 per cell]  6 Ta 2.78-2.84
Ni: 0.2500 0.2500 0.2500 [4 per cell]  12 Ta 3.30, 4 Sr 3.45

final energy	-8.345	eV per atom
energy of formation from the pure elements	0.80	eV per atom